Record 1
Here is crystalline NaCaPr2Tl4 at its relaxed geometry from Alexandria via LeMat-Bulk. Energies are from GGA-PBE.

abc: 5.495 5.495 9.546
angles: 73.27 73.27 60.00
Atoms (fractional coordinates):
Ca: 0.000 0.000 0.000
Tl: 0.376 0.376 0.872
Pr: 0.753 0.753 0.742
Tl: 0.624 0.624 0.128
Tl: 0.125 0.125 0.624
Pr: 0.247 0.247 0.258
Na: 0.500 0.500 0.500
Tl: 0.875 0.875 0.376

- Formation energy from the elements: -0.338 eV/atom
- Final energy: -3.131 eV/atom
- Space-group type: No. 166
- Density: 8.198 Mg/m³

***

Record 2
Here is crystalline Na2CaPt at its relaxed geometry from Alexandria via LeMat-Bulk. Energies are from GGA-PBE.

abc: 5.061 5.061 5.061
angles: 60.00 60.00 60.00
Atoms (fractional coordinates):
Na: 0.250 0.250 0.250
Pt: 0.500 0.500 0.500
Ca: 0.000 0.000 0.000
Na: 0.750 0.750 0.750

- Formation energy from the elements: -0.105 eV/atom
- Final energy: -2.775 eV/atom
- Space-group type: No. 225
- Density: 5.093 Mg/m³
- Relative energy among the computed polymorphs: 69.1 meV per atom